# Ba2LiMgRh

A geometry-optimized Ba2LiMgRh structure (PBE-GGA, Alexandria via LeMat-Bulk). Values from VASP.

ΔE to the lowest computed polymorph, meV/atom: 0
Energy of formation from the pure elements, eV/f.u.: -0.49
Total energy, eV/atom: -3.039
Crystal system: tetragonal
Space group: No. 123

The structure in Quantum ESPRESSO input format:
```
&SYSTEM
  ibrav = 0, nat = 5, ntyp = 4
/
ATOMIC_SPECIES
Mg 24.30 Mg.upf
Rh 102.91 Rh.upf
Ba 137.33 Ba.upf
Li 6.94 Li.upf
CELL_PARAMETERS angstrom
6.0716 0.0000 0.0000
0.0000 6.0716 0.0000
0.0000 0.0000 5.1422
ATOMIC_POSITIONS angstrom
Mg 0.0000 0.0000 2.5711
Rh 0.0000 0.0000 0.0000
Ba 0.0000 3.0358 0.0000
Ba 3.0358 0.0000 0.0000
Li 3.0358 3.0358 2.5711
```